# 1
The following is a DFT calculation (GGA-PBE) of a relaxed structure of Th6Co2AgC3.

Results
* E_form: -121 meV per atom
* SG: C2/m (12)
* magnetization: 0.0 μB/f.u.

a = 3.8126 Å, b = 7.7428 Å, c = 9.6639 Å
α = 114.44°, β = 101.38°, γ = 90.00°
With the nearest neighbours (Å) after each atom.
Atoms (fractional coordinates):
Co: 0.8765 0.7880 0.7531  4 Th 2.72-2.99, 2 Ag 2.93
Co: 0.1235 0.2120 0.2469  4 Th 2.72-2.99, 2 Ag 2.93
Th: 0.3481 0.4687 0.6962  3 C 2.59-2.78
Th: 0.6869 0.0702 0.3739  1 C 2.46, 2 Co 2.72
Th: 0.9644 0.2608 0.9288  3 C 2.45-2.54
Th: 0.3131 0.9298 0.6261  1 C 2.46, 2 Co 2.72
Th: 0.6519 0.5313 0.3038  3 C 2.59-2.78
Th: 0.0356 0.7392 0.0712  3 C 2.45-2.54
C: 0.1699 0.7721 0.3399  4 Th 2.45-2.59
C: 0.8301 0.2279 0.6601  4 Th 2.45-2.59
C: 0.5000 0.5000 0.0000  6 Th 2.54-2.78
Ag: 0.5000 0.0000 0.0000  4 Co 2.93, 4 Th 3.05



# 2
The following is a DFT calculation (GGA-PBE) of a relaxed structure of TiCoAg2C.

Results
* E_form: 1810 meV per atom
* SG: P4/mmm (123)
* magnetization: 0.6 μB/f.u.

a = 4.7685 Å, b = 4.1373 Å, c = 4.7685 Å
α = 90.00°, β = 90.00°, γ = 90.00°
With the nearest neighbours (Å) after each atom.
Atoms (fractional coordinates):
Ti: 0.0000 0.5000 0.0000  2 Co 2.07
C: 0.5000 0.5000 0.5000  8 Ag 3.16, 4 Ti 3.37
Co: 0.0000 0.0000 0.0000  2 Ti 2.07
Ag: 0.5000 0.0000 0.0000  2 Co 2.38
Ag: 0.0000 0.0000 0.5000  2 Co 2.38



# 3
The following is a DFT calculation (GGA-PBE) of a relaxed structure of Y2CoAgC.

Results
* E_form: -371 meV per atom
* SG: P4/mmm (123)
* magnetization: 0.0 μB/f.u.

a = 5.0345 Å, b = 5.0345 Å, c = 3.6524 Å
α = 90.00°, β = 90.00°, γ = 90.00°
With the nearest neighbours (Å) after each atom.
Atoms (fractional coordinates):
C: 0.0000 0.0000 0.0000  2 Co 1.83
Co: 0.0000 0.0000 0.5000  2 C 1.83
Ag: 0.5000 0.5000 0.5000  8 Y 3.11
Y: 0.0000 0.5000 0.0000  2 C 2.52
Y: 0.5000 0.0000 0.0000  2 C 2.52



# 4
The following is a DFT calculation (GGA-PBE) of a relaxed structure of Y2CoAgC.

Results
* E_form: 1117 meV per atom
* SG: P4/mmm (123)
* magnetization: 0.5 μB/f.u.

a = 5.5012 Å, b = 3.8475 Å, c = 5.5012 Å
α = 90.00°, β = 90.00°, γ = 90.00°
With the nearest neighbours (Å) after each atom.
Atoms (fractional coordinates):
Y: 0.0000 0.0000 0.5000  2 Ag 2.75
Y: 0.5000 0.0000 0.0000  2 Ag 2.75
Ag: 0.0000 0.0000 0.0000  2 C 1.92
Co: 0.5000 0.5000 0.5000  8 Y 3.36
C: 0.0000 0.5000 0.0000  2 Ag 1.92



# 5
The following is a DFT calculation (GGA-PBE) of a relaxed structure of Cr2AgC.

Results
* E_form: 1419 meV per atom
* SG: Fm-3m (225)
* magnetization: 7.0 μB/f.u.

a = 4.2758 Å, b = 4.2758 Å, c = 4.2758 Å
α = 60.00°, β = 60.00°, γ = 60.00°
With the nearest neighbours (Å) after each atom.
Atoms (fractional coordinates):
Cr: 0.2500 0.2500 0.2500  4 Ag 2.62, 4 C 2.62
Cr: 0.7500 0.7500 0.7500  4 C 2.62, 4 Ag 2.62
C: 0.0000 0.0000 0.0000  8 Cr 2.62
Ag: 0.5000 0.5000 0.5000  8 Cr 2.62



# 6
The following is a DFT calculation (GGA-PBE) of a relaxed structure of CrFeAg2C.

Results
* E_form: 797 meV per atom
* SG: P4/mmm (123)
* magnetization: 6.0 μB/f.u.

a = 4.3870 Å, b = 3.7704 Å, c = 4.3870 Å
α = 90.00°, β = 90.00°, γ = 90.00°
With the nearest neighbours (Å) after each atom.
Atoms (fractional coordinates):
C: 0.0000 0.0000 0.0000  2 Fe 1.89
Cr: 0.5000 0.5000 0.5000  8 Ag 2.89, 4 Fe 3.10
Ag: 0.0000 0.0000 0.5000  2 C 2.19
Ag: 0.5000 0.0000 0.0000  2 C 2.19
Fe: 0.0000 0.5000 0.0000  2 C 1.89



# 7
The following is a DFT calculation (GGA-PBE) of a relaxed structure of CrGaAg2C.

Results
* E_form: 1711 meV per atom
* SG: P4/mmm (123)
* magnetization: 0.3 μB/f.u.

a = 5.0088 Å, b = 3.6245 Å, c = 5.0088 Å
α = 90.00°, β = 90.00°, γ = 90.00°
With the nearest neighbours (Å) after each atom.
Atoms (fractional coordinates):
Ag: 0.5000 0.0000 0.0000  2 Ga 2.50
Ag: 0.0000 0.0000 0.5000  2 Ga 2.50
Ga: 0.0000 0.0000 0.0000  2 C 1.81
Cr: 0.5000 0.5000 0.5000  8 Ag 3.09
C: 0.0000 0.5000 0.0000  2 Ga 1.81



# 8
The following is a DFT calculation (GGA-PBE) of a relaxed structure of CrNiAgC2.

Results
* E_form: 3129 meV per atom
* SG: P4/mmm (123)
* magnetization: 1.1 μB/f.u.

a = 3.9202 Å, b = 4.9730 Å, c = 3.9202 Å
α = 90.00°, β = 90.00°, γ = 90.00°
With the nearest neighbours (Å) after each atom.
Atoms (fractional coordinates):
Ag: 0.0000 0.0000 0.0000  4 C 1.96
C: 0.5000 0.0000 0.0000  2 Ag 1.96
C: 0.0000 0.0000 0.5000  2 Ag 1.96
Cr: 0.0000 0.5000 0.0000  2 Ag 2.49, 4 Ni 2.77
Ni: 0.5000 0.5000 0.5000  4 Cr 2.77



# 9
The following is a DFT calculation (GGA-PBE) of a relaxed structure of CrAgRuC2.

Results
* E_form: 3122 meV per atom
* SG: P4/mmm (123)
* magnetization: 0.2 μB/f.u.

a = 3.8689 Å, b = 5.1951 Å, c = 3.8689 Å
α = 90.00°, β = 90.00°, γ = 90.00°
With the nearest neighbours (Å) after each atom.
Atoms (fractional coordinates):
Ag: 0.0000 0.0000 0.0000  4 C 1.93
Cr: 0.5000 0.5000 0.5000  4 Ru 2.74
C: 0.0000 0.0000 0.5000  2 Ag 1.93
C: 0.5000 0.0000 0.0000  2 Ag 1.93
Ru: 0.0000 0.5000 0.0000  2 Ag 2.60, 4 Cr 2.74



# 10
The following is a DFT calculation (GGA-PBE) of a relaxed structure of Sc2CrAgC.

Results
* E_form: -264 meV per atom
* SG: P4/mmm (123)
* magnetization: 2.2 μB/f.u.

a = 4.6141 Å, b = 4.6141 Å, c = 3.8597 Å
α = 90.00°, β = 90.00°, γ = 90.00°
With the nearest neighbours (Å) after each atom.
Atoms (fractional coordinates):
Sc: 0.0000 0.5000 0.0000  2 C 2.31
Sc: 0.5000 0.0000 0.0000  2 C 2.31
Ag: 0.5000 0.5000 0.5000  8 Sc 3.01, 4 Cr 3.26
C: 0.0000 0.0000 0.0000  2 Cr 1.93
Cr: 0.0000 0.0000 0.5000  2 C 1.93



# 11
The following is a DFT calculation (GGA-PBE) of a relaxed structure of TiCrAgC2.

Results
* E_form: 1367 meV per atom
* SG: P4/mmm (123)
* magnetization: 0.0 μB/f.u.

a = 3.7862 Å, b = 4.9109 Å, c = 3.7862 Å
α = 90.00°, β = 90.00°, γ = 90.00°
With the nearest neighbours (Å) after each atom.
Atoms (fractional coordinates):
C: 0.0000 0.0000 0.5000  2 Cr 1.89
C: 0.5000 0.0000 0.0000  2 Cr 1.89
Ag: 0.0000 0.5000 0.0000  2 Cr 2.46, 4 Ti 2.68
Cr: 0.0000 0.0000 0.0000  4 C 1.89
Ti: 0.5000 0.5000 0.5000  4 Ag 2.68



# 12
The following is a DFT calculation (GGA-PBE) of a relaxed structure of Cr2AgWC.

Results
* E_form: 373 meV per atom
* SG: P4/mmm (123)
* magnetization: 3.0 μB/f.u.

a = 3.9934 Å, b = 4.1246 Å, c = 3.9934 Å
α = 90.00°, β = 90.00°, γ = 90.00°
With the nearest neighbours (Å) after each atom.
Atoms (fractional coordinates):
W: 0.0000 0.5000 0.0000  2 C 2.06
Ag: 0.5000 0.5000 0.5000  4 W 2.82, 8 Cr 2.87
C: 0.0000 0.0000 0.0000  4 Cr 2.00, 2 W 2.06
Cr: 0.0000 0.0000 0.5000  2 C 2.00
Cr: 0.5000 0.0000 0.0000  2 C 2.00